Below is a geometry-optimized Cd7AgHg12 structure, with properties calculated at the PBE level.

Lattice parameters (Å, degrees): 8.1837 8.1837 8.1837 103.59 103.59 103.59
Closest atoms and distances in Å follow each position.
Positions (direct):
Hg (0.5696, 0.7875, 0.3087)  3 Cd 2.96-3.14, 4 Hg 3.13-3.29
Hg (0.3780, 0.0794, 0.2858)  4 Cd 3.13-3.26, 5 Hg 3.13-3.41, 1 Ag 3.23
Hg (0.4304, 0.2125, 0.6913)  3 Cd 2.96-3.14, 4 Hg 3.13-3.29
Hg (0.6913, 0.4304, 0.2125)  3 Cd 2.96-3.14, 4 Hg 3.13-3.29
Hg (0.7142, 0.6220, 0.9206)  4 Cd 3.13-3.26, 5 Hg 3.13-3.41, 1 Ag 3.23
Hg (0.9206, 0.7142, 0.6220)  4 Cd 3.13-3.26, 5 Hg 3.13-3.41, 1 Ag 3.23
Hg (0.0794, 0.2858, 0.3780)  4 Cd 3.13-3.26, 5 Hg 3.13-3.41, 1 Ag 3.23
Cd (0.3111, 0.9602, 0.8776)  5 Hg 2.96-3.24, 1 Ag 3.00, 3 Cd 3.09-3.13
Cd (0.9602, 0.8776, 0.3111)  5 Hg 2.96-3.24, 1 Ag 3.00, 3 Cd 3.09-3.13
Cd (0.1224, 0.6889, 0.0398)  5 Hg 2.96-3.24, 1 Ag 3.00, 3 Cd 3.09-3.13
Hg (0.2858, 0.3780, 0.0794)  4 Cd 3.13-3.26, 5 Hg 3.13-3.41, 1 Ag 3.23
Cd (0.6889, 0.0398, 0.1224)  5 Hg 2.96-3.24, 1 Ag 3.00, 3 Cd 3.09-3.13
Hg (0.2125, 0.6913, 0.4304)  3 Cd 2.96-3.14, 4 Hg 3.13-3.29
Hg (0.6220, 0.9206, 0.7142)  4 Cd 3.13-3.26, 5 Hg 3.13-3.41, 1 Ag 3.23
Cd (0.5000, 0.5000, 0.5000)  12 Hg 3.14-3.26
Hg (0.7875, 0.3087, 0.5696)  3 Cd 2.96-3.14, 4 Hg 3.13-3.29
Cd (0.8776, 0.3111, 0.9602)  5 Hg 2.96-3.24, 1 Ag 3.00, 3 Cd 3.09-3.13
Cd (0.0398, 0.1224, 0.6889)  5 Hg 2.96-3.24, 1 Ag 3.00, 3 Cd 3.09-3.13
Hg (0.3087, 0.5696, 0.7875)  3 Cd 2.96-3.14, 4 Hg 3.13-3.29
Ag (0.0000, 0.0000, 0.0000)  6 Cd 3.00, 6 Hg 3.23

## Properties
Total energy: -12.25 eV for the cell shown
E_form: 60.5 kJ/mol of formula units
Space group: R-3 (148)

Below is a geometry-optimized CdAg8Hg2 structure, with properties calculated at the PBE level.

Lattice parameters (Å, degrees): 4.3288 6.7360 7.8023 107.02 106.11 90.00
Closest atoms and distances in Å follow each position.
Positions (direct):
Hg (0.2240, 0.6439, 0.4481)  10 Ag 2.90-3.08, 2 Hg 3.16
Ag (0.6797, 0.9111, 0.3595)  3 Hg 2.90-3.02, 1 Cd 2.93, 8 Ag 2.96-3.02
Ag (0.8644, 0.8201, 0.7288)  7 Ag 2.94-3.07, 2 Cd 2.96, 3 Hg 3.00
Cd (0.5000, 0.0000, 0.0000)  12 Ag 2.93-3.03
Ag (0.3203, 0.0889, 0.6405)  3 Hg 2.90-3.02, 1 Cd 2.93, 8 Ag 2.96-3.02
Ag (0.5881, 0.4540, 0.1763)  8 Ag 2.89-3.07, 1 Cd 2.94, 3 Hg 2.98-3.08
Ag (0.4119, 0.5460, 0.8237)  8 Ag 2.89-3.07, 1 Cd 2.94, 3 Hg 2.98-3.08
Ag (0.9564, 0.2723, 0.9128)  1 Hg 2.93, 9 Ag 2.93-3.05, 2 Cd 3.03
Hg (0.7760, 0.3561, 0.5519)  10 Ag 2.90-3.08, 2 Hg 3.16
Ag (0.1356, 0.1799, 0.2712)  7 Ag 2.94-3.07, 2 Cd 2.96, 3 Hg 3.00
Ag (0.0436, 0.7277, 0.0872)  1 Hg 2.93, 9 Ag 2.93-3.05, 2 Cd 3.03

## Properties
Total energy: -24.11 eV for the cell shown
E_form: 21.4 kJ/mol of formula units
Space group: C2/m (12)
ΔE to the lowest computed polymorph: 0 meV per atom

Below is a geometry-optimized Cd3AgHg structure, with properties calculated at the PBE level.

Lattice parameters (Å, degrees): 5.3597 5.3597 5.3597 90.00 90.00 90.00
Closest atoms and distances in Å follow each position.
Positions (direct):
Cd (0.0000, 0.5000, 0.0000)  2 Ag 2.68
Ag (0.0000, 0.0000, 0.0000)  6 Cd 2.68
Cd (0.5000, 0.0000, 0.0000)  2 Ag 2.68
Hg (0.5000, 0.5000, 0.5000)  12 Cd 3.79
Cd (0.0000, 0.0000, 0.5000)  2 Ag 2.68

## Properties
Total energy: -4.98 eV for the cell shown
E_form: 88.5 kJ/mol of formula units
Space group: Pm-3m (221)
ΔE to the lowest computed polymorph: 166 meV per atom

Below is a geometry-optimized Cd3Ag2Hg2 structure, with properties calculated at the PBE level.

Lattice parameters (Å, degrees): 5.4421 5.2774 9.3070 42.96 63.97 85.74
Closest atoms and distances in Å follow each position.
Positions (direct):
Cd (0.0000, 0.0000, 0.0000)  4 Ag 2.97-3.28, 4 Cd 3.00-3.12, 4 Hg 3.14-3.32
Hg (0.6913, 0.2635, 0.5932)  3 Ag 2.93-3.00, 5 Cd 3.05-3.19, 2 Hg 3.10-3.21
Ag (0.5383, 0.4271, 0.8632)  3 Hg 2.93-3.00, 5 Cd 2.97-3.23, 2 Ag 3.02-3.09
Ag (0.4617, 0.5729, 0.1368)  3 Hg 2.93-3.00, 5 Cd 2.97-3.23, 2 Ag 3.02-3.09
Cd (0.1179, 0.8493, 0.7125)  3 Cd 3.00-3.12, 4 Ag 3.02-3.23, 4 Hg 3.05-3.19
Cd (0.8821, 0.1507, 0.2875)  3 Cd 3.00-3.12, 4 Ag 3.02-3.23, 4 Hg 3.05-3.19
Hg (0.3087, 0.7365, 0.4068)  3 Ag 2.93-3.00, 5 Cd 3.05-3.19, 2 Hg 3.10-3.21

## Properties
Total energy: -8.88 eV for the cell shown
E_form: 16.7 kJ/mol of formula units
Space group: P-1 (2)

Below is a geometry-optimized Cd3AgHg4 structure, with properties calculated at the PBE level.

Lattice parameters (Å, degrees): 4.5997 8.8443 8.9544 90.00 90.00 90.00
Closest atoms and distances in Å follow each position.
Positions (direct):
Cd (0.4984, 0.5000, 0.7500)  8 Hg 3.11-3.14, 4 Ag 3.20-3.21
Cd (0.4988, 0.0000, 0.7500)  8 Hg 3.18-3.24, 4 Cd 3.21
Ag (0.0000, 0.5000, 0.5000)  8 Hg 3.10-3.16, 4 Cd 3.20-3.21
Cd (0.0000, 0.0000, 0.0000)  8 Hg 3.20-3.23, 4 Cd 3.21
Hg (0.5000, 0.2556, 0.5000)  6 Cd 3.11-3.23, 2 Ag 3.16, 4 Hg 3.21
Hg (0.5000, 0.7444, 0.5000)  6 Cd 3.11-3.23, 2 Ag 3.16, 4 Hg 3.21
Hg (0.5000, 0.2556, 0.0000)  6 Cd 3.11-3.23, 2 Ag 3.16, 4 Hg 3.21
Cd (0.0000, 0.0000, 0.5000)  8 Hg 3.20-3.23, 4 Cd 3.21
Hg (0.5000, 0.7444, 0.0000)  6 Cd 3.11-3.23, 2 Ag 3.16, 4 Hg 3.21
Hg (0.0011, 0.7419, 0.2500)  2 Ag 3.10, 6 Cd 3.14-3.24, 4 Hg 3.21
Cd (0.5012, 0.0000, 0.2500)  8 Hg 3.18-3.24, 4 Cd 3.21
Ag (0.0000, 0.5000, 0.0000)  8 Hg 3.10-3.16, 4 Cd 3.20-3.21
Hg (0.0011, 0.2581, 0.2500)  2 Ag 3.10, 6 Cd 3.14-3.24, 4 Hg 3.21
Cd (0.5016, 0.5000, 0.2500)  8 Hg 3.11-3.14, 4 Ag 3.20-3.21
Hg (0.9989, 0.7419, 0.7500)  2 Ag 3.10, 6 Cd 3.14-3.24, 4 Hg 3.21
Hg (0.9989, 0.2581, 0.7500)  2 Ag 3.10, 6 Cd 3.14-3.24, 4 Hg 3.21

## Properties
Total energy: -12.84 eV for the cell shown
E_form: 37.2 kJ/mol of formula units
Space group: Pmma (51)

Below is a geometry-optimized Cd12Ag3Hg5 structure, with properties calculated at the PBE level.

Lattice parameters (Å, degrees): 14.4852 14.4852 14.4852 109.47 109.47 109.47
Closest atoms and distances in Å follow each position.
Positions (direct):
Cd (0.4288, 0.7657, 0.8578)  2 Ag 2.86-3.11, 2 Hg 2.86-2.90, 1 Cd 2.93
Cd (0.6631, 0.2343, 0.5921)  2 Ag 2.86-3.11, 2 Hg 2.86-2.90, 1 Cd 2.93
Ag (0.1250, 0.2500, 0.8750)  8 Cd 2.86-3.11
Cd (0.8578, 0.5921, 0.9290)  2 Ag 2.86-3.11, 2 Hg 2.86-2.90, 1 Cd 2.93
Cd (0.3578, 0.4290, 0.0921)  2 Ag 2.86-3.11, 2 Hg 2.86-2.90, 1 Cd 2.93
Hg (0.5000, 0.0000, 0.0000)  6 Cd 2.90
Cd (0.9288, 0.5710, 0.1631)  2 Ag 2.86-3.11, 2 Hg 2.86-2.90, 1 Cd 2.93
Cd (0.1631, 0.0921, 0.7343)  2 Ag 2.86-3.11, 2 Hg 2.86-2.90, 1 Cd 2.93
Ag (0.7500, 0.3750, 0.1250)  8 Cd 2.86-3.11
Hg (0.0000, 0.5000, 0.5000)  6 Cd 2.90
Cd (0.6631, 0.4288, 0.5710)  2 Ag 2.86-3.11, 2 Hg 2.86-2.90, 1 Cd 2.93
Cd (0.7343, 0.1422, 0.0712)  2 Ag 2.86-3.11, 2 Hg 2.86-2.90, 1 Cd 2.93
Ag (0.2500, 0.1250, 0.3750)  8 Cd 2.86-3.11
Cd (0.6422, 0.0712, 0.2343)  2 Ag 2.86-3.11, 2 Hg 2.86-2.90, 1 Cd 2.93
Cd (0.4079, 0.2657, 0.3369)  2 Ag 2.86-3.11, 2 Hg 2.86-2.90, 1 Cd 2.93
Cd (0.9290, 0.0921, 0.8578)  2 Ag 2.86-3.11, 2 Hg 2.86-2.90, 1 Cd 2.93
Cd (0.9290, 0.8369, 0.5712)  2 Ag 2.86-3.11, 2 Hg 2.86-2.90, 1 Cd 2.93
Ag (0.2500, 0.6250, 0.8750)  8 Cd 2.86-3.11
Hg (0.3750, 0.1250, 0.7500)  4 Cd 2.86
Cd (0.5921, 0.8578, 0.4290)  2 Ag 2.86-3.11, 2 Hg 2.86-2.90, 1 Cd 2.93
Ag (0.7500, 0.8750, 0.6250)  8 Cd 2.86-3.11
Cd (0.5710, 0.9288, 0.6631)  2 Ag 2.86-3.11, 2 Hg 2.86-2.90, 1 Cd 2.93
Hg (0.7500, 0.1250, 0.8750)  4 Cd 2.86
Cd (0.2343, 0.6631, 0.0921)  2 Ag 2.86-3.11, 2 Hg 2.86-2.90, 1 Cd 2.93
Cd (0.9079, 0.0710, 0.6422)  2 Ag 2.86-3.11, 2 Hg 2.86-2.90, 1 Cd 2.93
Hg (0.0000, 0.0000, 0.0000)  6 Cd 2.90
Hg (0.2500, 0.3750, 0.6250)  4 Cd 2.86
Cd (0.4290, 0.0712, 0.3369)  2 Ag 2.86-3.11, 2 Hg 2.86-2.90, 1 Cd 2.93
Cd (0.1422, 0.7343, 0.5712)  2 Ag 2.86-3.11, 2 Hg 2.86-2.90, 1 Cd 2.93
Hg (0.3750, 0.2500, 0.1250)  4 Cd 2.86
Cd (0.4290, 0.3578, 0.5921)  2 Ag 2.86-3.11, 2 Hg 2.86-2.90, 1 Cd 2.93
Hg (0.0000, 0.0000, 0.5000)  6 Cd 2.90
Cd (0.1631, 0.0710, 0.9288)  2 Ag 2.86-3.11, 2 Hg 2.86-2.90, 1 Cd 2.93
Cd (0.1422, 0.4079, 0.0710)  2 Ag 2.86-3.11, 2 Hg 2.86-2.90, 1 Cd 2.93
Cd (0.5710, 0.6422, 0.4079)  2 Ag 2.86-3.11, 2 Hg 2.86-2.90, 1 Cd 2.93
Hg (0.5000, 0.5000, 0.5000)  6 Cd 2.90
Cd (0.9079, 0.8369, 0.7657)  2 Ag 2.86-3.11, 2 Hg 2.86-2.90, 1 Cd 2.93
Cd (0.7657, 0.4288, 0.3578)  2 Ag 2.86-3.11, 2 Hg 2.86-2.90, 1 Cd 2.93
Cd (0.0921, 0.1631, 0.2343)  2 Ag 2.86-3.11, 2 Hg 2.86-2.90, 1 Cd 2.93
Hg (0.8750, 0.2500, 0.6250)  4 Cd 2.86
Cd (0.5921, 0.7343, 0.6631)  2 Ag 2.86-3.11, 2 Hg 2.86-2.90, 1 Cd 2.93
Hg (0.6250, 0.8750, 0.2500)  4 Cd 2.86
Hg (0.1250, 0.3750, 0.2500)  4 Cd 2.86
Cd (0.7657, 0.3369, 0.9079)  2 Ag 2.86-3.11, 2 Hg 2.86-2.90, 1 Cd 2.93
Cd (0.3369, 0.7657, 0.4079)  2 Ag 2.86-3.11, 2 Hg 2.86-2.90, 1 Cd 2.93
Cd (0.3578, 0.9288, 0.7657)  2 Ag 2.86-3.11, 2 Hg 2.86-2.90, 1 Cd 2.93
Cd (0.0921, 0.9290, 0.3578)  2 Ag 2.86-3.11, 2 Hg 2.86-2.90, 1 Cd 2.93
Hg (0.0000, 0.5000, 0.0000)  6 Cd 2.90
Ag (0.1250, 0.8750, 0.7500)  8 Cd 2.86-3.11
Cd (0.3369, 0.5712, 0.4290)  2 Ag 2.86-3.11, 2 Hg 2.86-2.90, 1 Cd 2.93
Cd (0.7343, 0.5921, 0.1631)  2 Ag 2.86-3.11, 2 Hg 2.86-2.90, 1 Cd 2.93
Ag (0.8750, 0.1250, 0.2500)  8 Cd 2.86-3.11
Cd (0.8369, 0.9290, 0.0712)  2 Ag 2.86-3.11, 2 Hg 2.86-2.90, 1 Cd 2.93
Hg (0.7500, 0.6250, 0.3750)  4 Cd 2.86
Ag (0.3750, 0.7500, 0.6250)  8 Cd 2.86-3.11
Cd (0.2657, 0.8578, 0.9288)  2 Ag 2.86-3.11, 2 Hg 2.86-2.90, 1 Cd 2.93
Cd (0.4288, 0.6631, 0.0710)  2 Ag 2.86-3.11, 2 Hg 2.86-2.90, 1 Cd 2.93
Cd (0.8578, 0.2657, 0.4288)  2 Ag 2.86-3.11, 2 Hg 2.86-2.90, 1 Cd 2.93
Hg (0.5000, 0.0000, 0.5000)  6 Cd 2.90
Ag (0.6250, 0.3750, 0.7500)  8 Cd 2.86-3.11
Cd (0.9288, 0.3578, 0.2657)  2 Ag 2.86-3.11, 2 Hg 2.86-2.90, 1 Cd 2.93
Cd (0.4079, 0.1422, 0.5710)  2 Ag 2.86-3.11, 2 Hg 2.86-2.90, 1 Cd 2.93
Ag (0.6250, 0.2500, 0.3750)  8 Cd 2.86-3.11
Cd (0.0712, 0.6422, 0.7343)  2 Ag 2.86-3.11, 2 Hg 2.86-2.90, 1 Cd 2.93
Ag (0.8750, 0.7500, 0.1250)  8 Cd 2.86-3.11
Cd (0.0712, 0.4290, 0.8369)  2 Ag 2.86-3.11, 2 Hg 2.86-2.90, 1 Cd 2.93
Cd (0.2343, 0.5712, 0.6422)  2 Ag 2.86-3.11, 2 Hg 2.86-2.90, 1 Cd 2.93
Hg (0.5000, 0.5000, 0.0000)  6 Cd 2.90
Hg (0.1250, 0.7500, 0.3750)  4 Cd 2.86
Cd (0.6422, 0.5710, 0.9079)  2 Ag 2.86-3.11, 2 Hg 2.86-2.90, 1 Cd 2.93
Cd (0.0710, 0.9079, 0.1422)  2 Ag 2.86-3.11, 2 Hg 2.86-2.90, 1 Cd 2.93
Ag (0.3750, 0.6250, 0.2500)  8 Cd 2.86-3.11
Cd (0.5712, 0.3369, 0.9290)  2 Ag 2.86-3.11, 2 Hg 2.86-2.90, 1 Cd 2.93
Cd (0.8369, 0.9079, 0.2657)  2 Ag 2.86-3.11, 2 Hg 2.86-2.90, 1 Cd 2.93
Hg (0.2500, 0.8750, 0.1250)  4 Cd 2.86
Cd (0.5712, 0.2343, 0.1422)  2 Ag 2.86-3.11, 2 Hg 2.86-2.90, 1 Cd 2.93
Hg (0.8750, 0.6250, 0.7500)  4 Cd 2.86
Cd (0.0710, 0.1631, 0.4288)  2 Ag 2.86-3.11, 2 Hg 2.86-2.90, 1 Cd 2.93
Cd (0.2657, 0.4079, 0.8369)  2 Ag 2.86-3.11, 2 Hg 2.86-2.90, 1 Cd 2.93
Hg (0.6250, 0.7500, 0.8750)  4 Cd 2.86

## Properties
Total energy: -71.92 eV for the cell shown
E_form: 295.6 kJ/mol of formula units
Space group: Ia-3d (230)